First-principles (PBE) data for a geometry-optimized La2PtW structure, as listed in Alexandria.

For the energy above the lowest structure with this stoichiometry, the calculation gives 139.0 kJ/mol of formula units. The calculation puts the volume at 25.97 Å³ per atom. The formation energy comes out at 0.2406 eV per atom.

Lattice parameters (Å, degrees): 8.7027 8.7027 8.7027 25.04 25.04 25.04
With the nearest neighbours (Å) after each atom.
Fractional positions:
Pt  0.2500  0.2500  0.2500  6 La 2.97
La  0.5033  0.5033  0.5033  3 Pt 2.97, 3 W 3.09
La  0.9967  0.9967  0.9967  3 Pt 2.97, 3 W 3.09
W  0.7500  0.7500  0.7500  6 La 3.09

First-principles (PBE) data for a geometry-optimized LaPt2W structure, as listed in Alexandria.

For the energy above the lowest structure with this stoichiometry, the calculation gives 0.0 kJ/mol of formula units. The calculation puts the volume at 22.63 Å³ per atom. The formation energy comes out at -0.4794 eV per atom.

Lattice parameters (Å, degrees): 4.4659 4.4659 5.8413 67.53 67.53 59.98
With the nearest neighbours (Å) after each atom.
Fractional positions:
Pt  0.5487  0.5487  0.3539  3 W 2.63-2.64, 3 Pt 2.80
Pt  0.9513  0.9513  0.1461  3 W 2.63-2.64, 3 Pt 2.80
W  0.2500  0.2500  0.2500  6 Pt 2.63-2.64
La  0.7500  0.7500  0.7500  8 Pt 3.17-3.31

First-principles (PBE) data for a geometry-optimized LaPt2W structure, as listed in Alexandria.

For the energy above the lowest structure with this stoichiometry, the calculation gives 138.9 kJ/mol of formula units. The calculation puts the volume at 20.19 Å³ per atom. The formation energy comes out at -0.1196 eV per atom.

Lattice parameters (Å, degrees): 3.3738 3.3738 7.0967 90.00 90.00 90.00
With the nearest neighbours (Å) after each atom.
Fractional positions:
La  0.5000  0.5000  0.7640  4 Pt 3.10, 4 W 3.37, 4 La 3.37
Pt  0.0000  0.0000  0.0429  1 W 2.73, 4 Pt 2.86
Pt  0.5000  0.5000  0.2652  4 W 2.65, 4 Pt 2.86
W  0.0000  0.0000  0.4280  5 Pt 2.65-2.73

First-principles (PBE) data for a geometry-optimized LaPtW2 structure, as listed in Alexandria.

For the energy above the lowest structure with this stoichiometry, the calculation gives 217.5 kJ/mol of formula units. The calculation puts the volume at 19.05 Å³ per atom. The formation energy comes out at 0.6294 eV per atom.

Lattice parameters (Å, degrees): 5.5838 5.5838 2.7882 90.00 90.00 118.79
With the nearest neighbours (Å) after each atom.
Fractional positions:
W  0.0000  0.0000  0.0000  4 W 2.79-2.84, 4 Pt 3.12, 4 La 3.12
W  0.5000  0.5000  0.0000  4 W 2.79-2.84, 4 La 3.12, 4 Pt 3.12
Pt  0.0000  0.5000  0.5000  2 Pt 2.79, 2 La 2.84, 8 W 3.12
La  0.5000  0.0000  0.5000  2 La 2.79, 2 Pt 2.84, 8 W 3.12

First-principles (PBE) data for a geometry-optimized LaPtW2 structure, as listed in Alexandria.

For the energy above the lowest structure with this stoichiometry, the calculation gives 196.2 kJ/mol of formula units. The calculation puts the volume at 18.83 Å³ per atom. The formation energy comes out at 0.5743 eV per atom.

Lattice parameters (Å, degrees): 10.4081 10.4081 10.4081 16.07 16.07 16.07
With the nearest neighbours (Å) after each atom.
Fractional positions:
La  0.2500  0.2500  0.2500  6 La 2.91
W  0.4889  0.4889  0.4889  3 Pt 2.79, 6 W 2.91
W  0.0111  0.0111  0.0111  3 Pt 2.79, 6 W 2.91
Pt  0.7500  0.7500  0.7500  6 W 2.79, 6 Pt 2.91

First-principles (PBE) data for a geometry-optimized LaPt2W structure, as listed in Alexandria.

For the energy above the lowest structure with this stoichiometry, the calculation gives 167.0 kJ/mol of formula units. The calculation puts the volume at 19.17 Å³ per atom. The formation energy comes out at -0.0467 eV per atom.

Lattice parameters (Å, degrees): 4.3210 4.3199 4.1082 90.00 90.00 90.00
With the nearest neighbours (Å) after each atom.
Fractional positions:
W  0.5000  0.0000  0.5000  8 Pt 2.98, 4 La 3.06
Pt  0.0000  0.0000  0.0000  4 La 2.98, 4 W 2.98, 4 Pt 3.06
Pt  0.5000  0.5000  0.0000  4 W 2.98, 4 La 2.98, 4 Pt 3.06
La  0.0000  0.5000  0.5000  8 Pt 2.98, 4 W 3.06

First-principles (PBE) data for a geometry-optimized LaPt3W structure, as listed in Alexandria.

For the energy above the lowest structure with this stoichiometry, the calculation gives 945.1 kJ/mol of formula units. The calculation puts the volume at 25.58 Å³ per atom. The formation energy comes out at 1.8934 eV per atom.

Lattice parameters (Å, degrees): 5.0384 5.0384 5.0384 90.00 90.00 90.00
With the nearest neighbours (Å) after each atom.
Fractional positions:
Pt  0.5000  0.0000  0.0000  2 La 2.52
Pt  0.0000  0.0000  0.5000  2 La 2.52
Pt  0.0000  0.5000  0.0000  2 La 2.52
W  0.5000  0.5000  0.5000  12 Pt 3.56
La  0.0000  0.0000  0.0000  6 Pt 2.52

First-principles (PBE) data for a geometry-optimized LaPtW2 structure, as listed in Alexandria.

For the energy above the lowest structure with this stoichiometry, the calculation gives 150.7 kJ/mol of formula units. The calculation puts the volume at 20.13 Å³ per atom. The formation energy comes out at 0.4565 eV per atom.

Lattice parameters (Å, degrees): 2.8268 4.0454 7.0416 90.00 90.00 90.00
With the nearest neighbours (Å) after each atom.
Fractional positions:
W  0.0000  0.0000  0.9324  3 W 2.57-2.83, 4 Pt 2.78
W  0.0000  0.0000  0.5676  3 W 2.57-2.83, 4 Pt 2.78
La  0.5000  0.5000  0.2500  2 La 2.83
Pt  0.5000  0.5000  0.7500  8 W 2.78, 2 Pt 2.83

First-principles (PBE) data for a geometry-optimized LaPtW2 structure, as listed in Alexandria.

For the energy above the lowest structure with this stoichiometry, the calculation gives 0.0 kJ/mol of formula units. The calculation puts the volume at 19.99 Å³ per atom. The formation energy comes out at 0.0659 eV per atom.

Lattice parameters (Å, degrees): 3.2549 3.2323 8.2706 66.75 90.00 90.00
With the nearest neighbours (Å) after each atom.
Fractional positions:
W  0.5000  0.3097  0.1905  4 W 2.65-2.66
W  0.0000  0.9854  0.0141  4 W 2.65-2.66, 4 Pt 2.82
Pt  0.5000  0.7022  0.7985  5 W 2.82-2.98
La  0.0000  0.5028  0.4969  4 La 3.23-3.25, 4 Pt 3.24-3.25, 4 W 3.26-3.27

First-principles (PBE) data for a geometry-optimized La2Pt2W structure, as listed in Alexandria.

The calculation puts the volume at 23.32 Å³ per atom. The formation energy comes out at -0.3838 eV per atom.

Lattice parameters (Å, degrees): 7.0103 7.0103 4.7445 90.00 90.00 90.00
With the nearest neighbours (Å) after each atom.
Fractional positions:
Pt  0.3546  0.8546  0.0000  2 W 2.69, 1 Pt 2.88, 2 La 2.99
Pt  0.8546  0.6454  0.0000  2 W 2.69, 1 Pt 2.88, 2 La 2.99
Pt  0.1454  0.3546  0.0000  2 W 2.69, 1 Pt 2.88, 2 La 2.99
Pt  0.6454  0.1454  0.0000  2 W 2.69, 1 Pt 2.88, 2 La 2.99
La  0.3283  0.1717  0.5000  6 Pt 2.99-3.26
La  0.1717  0.6717  0.5000  6 Pt 2.99-3.26
La  0.8283  0.3283  0.5000  6 Pt 2.99-3.26
La  0.6717  0.8283  0.5000  6 Pt 2.99-3.26
W  0.0000  0.0000  0.0000  4 Pt 2.69
W  0.5000  0.5000  0.0000  4 Pt 2.69

First-principles (PBE) data for a geometry-optimized La2PtW structure, as listed in Alexandria.

For the energy above the lowest structure with this stoichiometry, the calculation gives 115.1 kJ/mol of formula units. The calculation puts the volume at 23.41 Å³ per atom. The formation energy comes out at 0.1786 eV per atom.

Lattice parameters (Å, degrees): 5.9254 5.9254 5.9254 137.57 137.57 61.56
With the nearest neighbours (Å) after each atom.
Fractional positions:
La  0.2500  0.7500  0.5000  4 W 3.03, 4 La 3.33, 4 Pt 3.33
La  0.0000  0.0000  0.0000  4 Pt 3.03, 4 La 3.33, 4 W 3.33
Pt  0.5000  0.5000  0.0000  8 La 3.03-3.33, 4 W 3.33
W  0.7500  0.2500  0.5000  8 La 3.03-3.33, 4 Pt 3.33

First-principles (PBE) data for a geometry-optimized LaPtW2 structure, as listed in Alexandria.

For the energy above the lowest structure with this stoichiometry, the calculation gives 96.9 kJ/mol of formula units. The calculation puts the volume at 19.72 Å³ per atom. The formation energy comes out at 0.3169 eV per atom.

Lattice parameters (Å, degrees): 6.2271 6.2271 6.2271 153.98 131.51 55.84
With the nearest neighbours (Å) after each atom.
Fractional positions:
Pt  0.2500  0.7500  0.5000  2 Pt 2.80, 4 W 2.81, 4 La 2.92
W  0.0286  0.0286  0.0000  6 W 2.80-2.98, 2 Pt 2.81
W  0.4714  0.4714  0.0000  6 W 2.80-2.98, 2 Pt 2.81
La  0.7500  0.2500  0.5000  2 La 2.80, 4 Pt 2.92

First-principles (PBE) data for a geometry-optimized LaPtW2 structure, as listed in Alexandria.

For the energy above the lowest structure with this stoichiometry, the calculation gives 133.5 kJ/mol of formula units. The calculation puts the volume at 19.53 Å³ per atom. The formation energy comes out at 0.4119 eV per atom.

Lattice parameters (Å, degrees): 3.1486 4.7466 5.2263 90.00 90.00 90.00
With the nearest neighbours (Å) after each atom.
Fractional positions:
La  0.5000  0.0000  0.5000  4 Pt 2.85, 4 W 3.05, 2 La 3.15
W  0.0000  0.0000  0.0000  6 W 2.85-3.15, 4 La 3.05
W  0.5000  0.5000  0.0000  6 W 2.85-3.15, 4 Pt 3.05
Pt  0.0000  0.5000  0.5000  4 La 2.85, 4 W 3.05, 2 Pt 3.15

First-principles (PBE) data for a geometry-optimized La2PtW structure, as listed in Alexandria.

For the energy above the lowest structure with this stoichiometry, the calculation gives 43.5 kJ/mol of formula units. The calculation puts the volume at 25.16 Å³ per atom. The formation energy comes out at -0.0069 eV per atom.

Lattice parameters (Å, degrees): 6.5295 6.5295 4.9118 67.90 67.90 31.48
With the nearest neighbours (Å) after each atom.
Fractional positions:
Pt  0.4522  0.4522  0.5474  2 W 2.57
La  0.0258  0.0258  0.9740  4 Pt 3.14-3.15, 2 La 3.41
La  0.2302  0.2302  0.2700  4 W 3.11, 2 La 3.41
W  0.7918  0.7918  0.7086  2 Pt 2.57

First-principles (PBE) data for a geometry-optimized La2PtW structure, as listed in Alexandria.

For the energy above the lowest structure with this stoichiometry, the calculation gives 54.4 kJ/mol of formula units. The calculation puts the volume at 24.55 Å³ per atom. The formation energy comes out at 0.0213 eV per atom.

Lattice parameters (Å, degrees): 3.6904 3.6970 8.0888 62.85 90.00 90.00
With the nearest neighbours (Å) after each atom.
Fractional positions:
Pt  0.5000  0.2500  0.2500  8 La 3.15
La  0.0000  0.9936  0.0063  4 Pt 3.15, 4 W 3.20, 1 La 3.51
La  0.0000  0.5064  0.4937  4 Pt 3.15, 4 W 3.20, 1 La 3.51
W  0.5000  0.7500  0.7500  8 La 3.20

First-principles (PBE) data for a geometry-optimized La2PtW structure, as listed in Alexandria.

For the energy above the lowest structure with this stoichiometry, the calculation gives 121.8 kJ/mol of formula units. The calculation puts the volume at 21.98 Å³ per atom. The formation energy comes out at 0.1959 eV per atom.

Lattice parameters (Å, degrees): 4.9911 4.9911 4.9911 60.00 60.00 60.00
With the nearest neighbours (Å) after each atom.
Fractional positions:
W  0.7500  0.7500  0.7500  4 La 3.06, 4 Pt 3.06
La  0.0000  0.0000  0.0000  4 W 3.06, 4 La 3.06
La  0.2500  0.2500  0.2500  4 La 3.06, 4 Pt 3.06
Pt  0.5000  0.5000  0.5000  4 La 3.06, 4 W 3.06

First-principles (PBE) data for a geometry-optimized La2PtW structure, as listed in Alexandria.

For the energy above the lowest structure with this stoichiometry, the calculation gives 65.8 kJ/mol of formula units. The calculation puts the volume at 24.47 Å³ per atom. The formation energy comes out at 0.0509 eV per atom.

Lattice parameters (Å, degrees): 5.2529 5.2873 3.5238 90.00 90.00 90.00
With the nearest neighbours (Å) after each atom.
Fractional positions:
W  0.0000  0.5000  0.5000  8 La 3.16-3.18, 2 W 3.52
La  0.0000  0.0000  0.0000  4 Pt 3.16, 4 W 3.18, 2 La 3.52
La  0.5000  0.5000  0.0000  4 W 3.16, 4 Pt 3.18, 2 La 3.52
Pt  0.5000  0.0000  0.5000  8 La 3.16-3.18, 2 Pt 3.52

First-principles (PBE) data for a geometry-optimized LaPtW2 structure, as listed in Alexandria.

For the energy above the lowest structure with this stoichiometry, the calculation gives 179.9 kJ/mol of formula units. The calculation puts the volume at 21.23 Å³ per atom. The formation energy comes out at 0.5322 eV per atom.

Lattice parameters (Å, degrees): 4.0249 4.0249 10.8635 79.32 79.32 90.00
With the nearest neighbours (Å) after each atom.
Fractional positions:
Pt  0.7500  0.2500  0.5000  4 La 2.85, 4 W 2.91
Pt  0.0000  0.0000  0.0000  4 La 2.85, 4 W 2.91
W  0.6823  0.1250  0.2500  2 W 2.54
W  0.8750  0.9323  0.7500  2 W 2.54
W  0.0677  0.6250  0.2500  2 W 2.54
W  0.3750  0.3177  0.7500  2 W 2.54
La  0.2500  0.7500  0.5000  4 Pt 2.85, 4 W 3.07
La  0.5000  0.5000  0.0000  4 Pt 2.85, 4 W 3.07

First-principles (PBE) data for a geometry-optimized LaPtW2 structure, as listed in Alexandria.

For the energy above the lowest structure with this stoichiometry, the calculation gives 133.1 kJ/mol of formula units. The calculation puts the volume at 19.96 Å³ per atom. The formation energy comes out at 0.4107 eV per atom.

Lattice parameters (Å, degrees): 5.5587 5.5587 5.5587 144.42 125.92 66.42
With the nearest neighbours (Å) after each atom.
Fractional positions:
W  0.7818  0.2818  0.5000  2 W 2.53
W  0.9832  0.9832  0.0000  2 W 2.53
Pt  0.2305  0.7305  0.5000  6 W 2.86-3.08, 2 La 3.06
La  0.5045  0.5045  0.0000  8 W 3.05-3.27, 4 Pt 3.06-3.29, 2 La 3.40

First-principles (PBE) data for a geometry-optimized LaPt2W structure, as listed in Alexandria.

For the energy above the lowest structure with this stoichiometry, the calculation gives 208.6 kJ/mol of formula units. The calculation puts the volume at 19.96 Å³ per atom. The formation energy comes out at 0.0611 eV per atom.

Lattice parameters (Å, degrees): 4.8329 4.8329 4.8329 60.00 60.00 60.00
With the nearest neighbours (Å) after each atom.
Fractional positions:
Pt  0.7500  0.7500  0.7500  4 La 2.96, 4 W 2.96
Pt  0.2500  0.2500  0.2500  4 La 2.96, 4 W 2.96
W  0.5000  0.5000  0.5000  8 Pt 2.96
La  0.0000  0.0000  0.0000  8 Pt 2.96